(w)
# ErSc2Pb | Alexandria | GGA-PBE | optimized geometry
data_ErSc2Pb
_chemical_formula_sum 'Er2 Sc4 Pb2'
_cell_length_a 4.420
_cell_length_b 4.499
_cell_length_c 10.881
_cell_angle_alpha 90.00
_cell_angle_beta 101.70
_cell_angle_gamma 90.00
_space_group_name_H-M_alt 'P 1 21/m 1'
_space_group_IT_number 11
loop_
_space_group_symop_operation_xyz
'x,y,z'
'-x,-y,-z'
'-x,y+1/2,-z'
'x,-y+1/2,z'
loop_
_atom_site_label
_atom_site_fract_x
_atom_site_fract_y
_atom_site_fract_z
Er1 0.188 0.250 0.376
Sc1 0.054 0.750 0.108
Sc2 0.441 0.750 0.881
Pb1 0.338 0.250 0.675
# * size of the total moment: 0.01 μB per formula unit
# * theoretical density: 7.3 g cm⁻³
# * volume: 211.9 Å³/cell


(x)
# ErSc2Pb | Alexandria | GGA-PBE | optimized geometry
data_ErSc2Pb
_chemical_formula_sum 'Er1 Sc2 Pb1'
_cell_length_a 3.551
_cell_length_b 3.551
_cell_length_c 8.287
_cell_angle_alpha 90.00
_cell_angle_beta 90.00
_cell_angle_gamma 90.00
_space_group_name_H-M_alt 'P 4/m m m'
_space_group_IT_number 123
_space_group_name_Hall '-P 4 2'
loop_
_atom_site_label
_atom_site_fract_x
_atom_site_fract_y
_atom_site_fract_z
Er1 0.000 0.000 0.000
Sc1 0.500 0.500 0.264
Pb1 0.000 0.000 0.500
# * size of the total moment: 0.00 μB per formula unit
# * theoretical density: 7.4 g cm⁻³
# * volume: 104.5 Å³/cell


Each structure's energy above the most stable one, in meV/atom: (w) 0; (x) 166.


(w)
# ErSc2Pb | Alexandria | GGA-PBE | optimized geometry
data_ErSc2Pb
_chemical_formula_sum 'Er4 Sc8 Pb4'
_cell_length_a 7.398
_cell_length_b 7.398
_cell_length_c 7.398
_cell_angle_alpha 90.00
_cell_angle_beta 90.00
_cell_angle_gamma 90.00
_space_group_name_H-M_alt 'F -4 3 m'
_space_group_IT_number 216
_space_group_name_Hall 'F -4 2 3'
loop_
_atom_site_label
_atom_site_fract_x
_atom_site_fract_y
_atom_site_fract_z
Er1 0.000 0.000 0.000
Sc1 0.000 0.000 0.500
Sc2 0.250 0.250 0.750
Pb1 0.250 0.250 0.250
# * size of the total moment: 1.47 μB per formula unit
# * theoretical density: 7.6 g cm⁻³
# * volume: 404.9 Å³/cell


(x)
# ErSc2Pb | Alexandria | GGA-PBE | optimized geometry
data_ErSc2Pb
_chemical_formula_sum 'Er1 Sc2 Pb1'
_cell_length_a 4.656
_cell_length_b 4.656
_cell_length_c 4.657
_cell_angle_alpha 90.00
_cell_angle_beta 90.00
_cell_angle_gamma 90.00
_space_group_name_H-M_alt 'P 4/m m m'
_space_group_IT_number 123
_space_group_name_Hall '-P 4 2'
loop_
_atom_site_label
_atom_site_fract_x
_atom_site_fract_y
_atom_site_fract_z
Er1 0.000 0.000 0.000
Sc1 0.000 0.500 0.500
Pb1 0.500 0.500 0.000
# * size of the total moment: 1.83 μB per formula unit
# * theoretical density: 7.6 g cm⁻³
# * volume: 100.9 Å³/cell


Each structure's energy above the most stable one, in meV/atom: (w) 167; (x) 0.